Record 1
Compound: SiWAu2
Source: Alexandria
Functional: GGA-PBE
Structure: relaxed

Structure (POSCAR):
```
SiWAu2
1.0
-2.4494 0.8305 -2.6960
-1.7864 -3.2199 0.6311
-8.0140 3.4040 5.7412
Si Au W
2 4 2
direct
0.5000 0.5000 0.0000
0.2500 0.7500 0.5000
0.6255 0.1250 0.2500
0.1245 0.6250 0.2500
0.3750 0.3745 0.7500
0.8750 0.8755 0.7500
0.0000 0.0000 0.0000
0.7500 0.2500 0.5000
```

---

Record 2
Compound: SiW2Au
Source: Alexandria
Functional: GGA-PBE
Structure: relaxed

Structure (POSCAR):
```
SiW2Au
1.0
2.7597 0.0000 0.0000
0.0000 2.7597 0.0000
0.0000 0.0000 8.4702
Au Si W
1 1 2
direct
0.0000 0.0000 0.5033
0.5000 0.5000 0.7658
0.0000 0.0000 0.9861
0.5000 0.5000 0.2448
```

---

Record 3
Compound: Si2WAu
Source: Alexandria
Functional: GGA-PBE
Structure: relaxed

Structure (POSCAR):
```
Si2WAu
1.0
-2.0772 1.7355 1.8244
-3.2468 -2.3734 -1.4389
0.5615 -2.7303 3.2366
Au Si W
1 2 1
direct
0.5000 0.0000 0.5000
0.0000 0.0000 0.0000
0.0000 0.5000 0.5000
0.5000 0.5000 0.0000
```

Results
For the energy above the lowest structure with this stoichiometry, the calculation gives 128.9 meV per atom.

---

Record 4
Compound: Si2WAu
Source: Alexandria
Functional: GGA-PBE
Structure: relaxed

Structure (POSCAR):
```
Si2WAu
1.0
-2.5479 0.4251 1.0290
-1.0277 -1.8863 -1.7655
1.2466 -5.8181 5.4905
Au Si W
1 2 1
direct
0.5000 0.5000 0.7511
0.0000 0.0000 0.0105
0.5000 0.5000 0.2543
0.0000 0.0000 0.4841
```

Results
For the energy above the lowest structure with this stoichiometry, the calculation gives 298.2 meV per atom.

---

Record 5
Compound: Si2WAu
Source: Alexandria
Functional: GGA-PBE
Structure: relaxed

Structure (POSCAR):
```
Si2WAu
1.0
2.8593 0.0233 0.0000
-0.6964 2.7733 0.0000
0.0000 0.0000 7.9943
Au Si W
1 2 1
direct
0.5000 0.5000 0.7500
0.0000 0.0000 0.0206
0.0000 0.0000 0.4794
0.5000 0.5000 0.2500
```

Results
For the energy above the lowest structure with this stoichiometry, the calculation gives 250.5 meV per atom.

---

Record 6
Compound: YSiWAu2
Source: Alexandria
Functional: GGA-PBE
Structure: relaxed

Structure (POSCAR):
```
YSiWAu2
1.0
-2.2420 -3.1708 2.6632
3.1518 -3.2786 -1.2502
2.6917 1.1854 3.6773
Y Si Au W
1 1 2 1
direct
0.5000 0.5000 0.5000
0.0000 0.0000 0.0000
0.0000 0.0000 0.5000
0.5000 0.0000 0.0000
0.0000 0.5000 0.0000
```

---

Record 7
Compound: YSiAu
Source: Alexandria
Functional: GGA-PBE
Structure: relaxed

Structure (POSCAR):
```
YSiAu
1.0
-2.6556 1.6002 -2.1875
-2.4102 0.4179 3.2314
1.6730 8.4834 -2.3909
Y Si Au
2 2 2
direct
0.6583 0.5537 0.1792
0.5667 0.3487 0.7696
0.9505 0.9070 0.8862
0.2745 0.9953 0.0627
0.2778 0.7432 0.5584
0.9472 0.1592 0.3905
```

---

Record 8
Compound: YSiAu2
Source: Alexandria
Functional: GGA-PBE
Structure: relaxed

Structure (POSCAR):
```
YSiAu2
1.0
4.4342 0.0000 0.0000
0.0000 3.4473 -0.0206
0.0000 0.0334 5.4506
Au Si Y
2 1 1
direct
0.0000 0.2498 0.9985
0.0000 0.2502 0.5015
0.5000 0.2500 0.2500
0.5000 0.7500 0.7500
```

---

no.,ΔE_f (raw) (eV per atom),VASP energy (eV per atom)
1,0.5464,-5.686
2,0.3956,-8.256
3,0.2175,-6.552
4,0.3867,-6.382
5,0.3391,-6.430
6,0.2404,-6.039
7,-0.7538,-5.809
8,-0.4990,-5.109